# 1
The following is a DFT calculation (GGA-PBE) of HfScZn17 after structural relaxation.

Computed properties:
As for the volume: 292.1 Å³ per cell. The total energy comes out at -2.12 eV per atom. Its crystal system is trigonal.

Unit cell a=6.6878 b=6.6878 c=6.6878 alpha=82.54 beta=82.54 gamma=82.54
Closest atoms and distances in Å follow each position.
Positions (direct):
Zn  0.3032  0.6953  0.0006  8 Zn 2.55-2.74
Zn  0.3509  0.8480  0.3509  9 Zn 2.49-2.77
Zn  0.9943  0.5061  0.9943  10 Zn 2.55-2.73
Zn  0.3032  0.0006  0.6953  8 Zn 2.55-2.74
Zn  0.3509  0.3509  0.8480  9 Zn 2.49-2.77
Zn  0.9943  0.9943  0.5061  10 Zn 2.55-2.73
Zn  0.1752  0.6403  0.6403  8 Zn 2.49-2.74
Zn  0.6953  0.3032  0.0006  8 Zn 2.55-2.74
Zn  0.5061  0.9943  0.9943  10 Zn 2.55-2.73
Zn  0.6403  0.1752  0.6403  8 Zn 2.49-2.74
Zn  0.8480  0.3509  0.3509  9 Zn 2.49-2.77
Zn  0.0006  0.3032  0.6953  8 Zn 2.55-2.74
Zn  0.6953  0.0006  0.3032  8 Zn 2.55-2.74
Zn  0.0006  0.6953  0.3032  8 Zn 2.55-2.74
Zn  0.9014  0.9014  0.9014  7 Zn 2.62-2.93
Zn  0.6403  0.6403  0.1752  8 Zn 2.49-2.74
Zn  0.1030  0.1030  0.1030  7 Zn 2.62-2.77
Hf  0.3316  0.3316  0.3316  13 Zn 2.97-3.21
Sc  0.6657  0.6657  0.6657  19 Zn 3.06-3.37

# 2
The following is a DFT calculation (GGA-PBE) of InPbSCl2 after structural relaxation.

Computed properties:
The value obtained for the uncorrected formation energy is -2.33 eV per formula unit. As for the volume: 144.3 Å³ per cell. The total energy comes out at -3.32 eV per atom. Its crystal system is tetragonal.

Unit cell a=5.2533 b=5.2533 c=5.2285 alpha=90.00 beta=90.00 gamma=90.00
Closest atoms and distances in Å follow each position.
Positions (direct):
S  0.0000  0.0000  0.5000  2 In 2.61
Cl  0.0000  0.5000  0.0000  2 In 2.63
Cl  0.5000  0.0000  0.0000  2 In 2.63
In  0.0000  0.0000  0.0000  2 S 2.61, 4 Cl 2.63
Pb  0.5000  0.5000  0.5000  8 Cl 3.71, 4 S 3.71

# 3
The following is a DFT calculation (GGA-PBE) of BeGe2HCl after structural relaxation.

Computed properties:
As for the volume: 74.7 Å³ per cell. The total energy comes out at -3.35 eV per atom. Its crystal system is tetragonal.

Unit cell a=4.8714 b=3.1491 c=4.8714 alpha=90.00 beta=90.00 gamma=90.00
Closest atoms and distances in Å follow each position.
Positions (direct):
Cl  0.5000  0.5000  0.5000  8 Ge 2.90, 2 Cl 3.15
Ge  0.0000  0.0000  0.5000  2 Be 2.44
Ge  0.5000  0.0000  0.0000  2 Be 2.44
H  0.0000  0.5000  0.0000  2 Be 1.57
Be  0.0000  0.0000  0.0000  2 H 1.57

# 4
The following is a DFT calculation (GGA-PBE) of EuSe2 after structural relaxation.

Computed properties:
The value obtained for the uncorrected formation energy is -3.74 eV per formula unit. As for the volume: 84.8 Å³ per cell. The total energy comes out at -6.99 eV per atom. Its crystal system is monoclinic.

Unit cell a=4.0455 b=4.0455 c=5.9259 alpha=110.07 beta=110.07 gamma=90.00
Closest atoms and distances in Å follow each position.
Positions (direct):
Se  0.1224  0.1224  0.2430  1 Se 2.52
Se  0.8776  0.8776  0.7570  1 Se 2.52
Eu  0.5000  0.5000  0.0000  8 Se 3.12-3.13

# 5
The following is a DFT calculation (GGA-PBE) of Li2MgRuC after structural relaxation.

Computed properties:
As for the volume: 76.4 Å³ per cell. The total energy comes out at -3.24 eV per atom. Its crystal system is tetragonal.

Unit cell a=4.4310 b=4.4310 c=3.8933 alpha=90.00 beta=90.00 gamma=90.00
Closest atoms and distances in Å follow each position.
Positions (direct):
Li  0.5000  0.0000  0.0000  2 Mg 2.22
Li  0.0000  0.5000  0.0000  2 Mg 2.22
Mg  0.0000  0.0000  0.0000  2 C 1.95
C  0.0000  0.0000  0.5000  2 Mg 1.95
Ru  0.5000  0.5000  0.5000  8 Li 2.95, 4 C 3.13

# 6
The following is a DFT calculation (GGA-PBE) of Mg14TlHg after structural relaxation.

Computed properties:
As for the volume: 365.1 Å³ per cell. The total energy comes out at -1.60 eV per atom. Its crystal system is tetragonal.

Unit cell a=6.5312 b=6.5312 c=8.5586 alpha=90.00 beta=90.00 gamma=90.00
Closest atoms and distances in Å follow each position.
Positions (direct):
Mg  0.3750  0.3750  0.0000  12 Mg 3.14-3.27
Mg  0.8750  0.3750  0.5000  8 Mg 3.13, 2 Hg 3.27, 2 Tl 3.27
Mg  0.1284  0.6216  0.7474  1 Hg 3.11, 10 Mg 3.13-3.31, 1 Tl 3.16
Mg  0.6216  0.1284  0.2526  1 Hg 3.11, 10 Mg 3.13-3.31, 1 Tl 3.16
Mg  0.1283  0.1283  0.7474  1 Hg 3.11, 10 Mg 3.13-3.31, 1 Tl 3.16
Mg  0.3750  0.8750  0.0000  12 Mg 3.16-3.27
Mg  0.3750  0.8750  0.5000  8 Mg 3.13, 2 Hg 3.27, 2 Tl 3.27
Mg  0.8750  0.3750  0.0000  12 Mg 3.16-3.27
Mg  0.1284  0.6216  0.2526  1 Hg 3.11, 10 Mg 3.13-3.31, 1 Tl 3.16
Mg  0.6217  0.6217  0.2526  1 Hg 3.11, 10 Mg 3.13-3.31, 1 Tl 3.16
Mg  0.6216  0.1284  0.7474  1 Hg 3.11, 10 Mg 3.13-3.31, 1 Tl 3.16
Mg  0.6217  0.6217  0.7474  1 Hg 3.11, 10 Mg 3.13-3.31, 1 Tl 3.16
Mg  0.8750  0.8750  0.0000  12 Mg 3.19-3.27
Mg  0.1283  0.1283  0.2526  1 Hg 3.11, 10 Mg 3.13-3.31, 1 Tl 3.16
Hg  0.3750  0.3750  0.5000  12 Mg 3.11-3.27
Tl  0.8750  0.8750  0.5000  12 Mg 3.16-3.27

# 7
The following is a DFT calculation (GGA-PBE) of ScFeReMo after structural relaxation.

Computed properties:
As for the volume: 60.3 Å³ per cell. The total energy comes out at -9.55 eV per atom. Its crystal system is cubic.

Unit cell a=4.4010 b=4.4010 c=4.4010 alpha=60.00 beta=60.00 gamma=60.00
Closest atoms and distances in Å follow each position.
Positions (direct):
Sc  0.0000  0.0000  0.0000  4 Re 2.70, 4 Fe 2.70
Fe  0.7500  0.7500  0.7500  4 Mo 2.70, 4 Sc 2.70
Mo  0.5000  0.5000  0.5000  4 Fe 2.70, 4 Re 2.70
Re  0.2500  0.2500  0.2500  4 Sc 2.70, 4 Mo 2.70

# 8
The following is a DFT calculation (GGA-PBE) of Sc2SbRu after structural relaxation.

Computed properties:
The value obtained for the uncorrected formation energy is -2.39 eV per formula unit. As for the volume: 80.9 Å³ per cell. The total energy comes out at -7.11 eV per atom. Its crystal system is orthorhombic.

Unit cell a=4.4100 b=3.4557 c=5.5783 alpha=72.00 beta=90.00 gamma=90.00
Closest atoms and distances in Å follow each position.
Positions (direct):
Sb  0.5000  0.5520  0.7716  2 Ru 2.80, 7 Sc 2.93-2.97
Sc  0.0000  0.9596  0.9568  1 Ru 2.59
Sc  0.5000  0.2741  0.3261  4 Ru 2.87, 3 Sb 2.93-2.94
Ru  0.0000  0.7144  0.4455  5 Sc 2.59-2.87, 2 Sb 2.80

# 9
The following is a DFT calculation (GGA-PBE) of Y3Se after structural relaxation.

Computed properties:
The value obtained for the uncorrected formation energy is -2.77 eV per formula unit. As for the volume: 111.4 Å³ per cell. The total energy comes out at -6.41 eV per atom. Its crystal system is tetragonal.

Unit cell a=3.6156 b=3.6156 c=8.5214 alpha=90.00 beta=90.00 gamma=90.00
Closest atoms and distances in Å follow each position.
Positions (direct):
Y  0.5000  0.5000  0.2074  4 Se 3.11
Y  0.5000  0.5000  0.7926  4 Se 3.11
Y  0.0000  0.0000  0.5000  12 Y 3.57-3.62
Se  0.0000  0.0000  0.0000  8 Y 3.11

# 10
The following is a DFT calculation (GGA-PBE) of Tl3VTe after structural relaxation.

Computed properties:
The value obtained for the uncorrected formation energy is 5.02 eV per formula unit. As for the volume: 220.6 Å³ per cell. The total energy comes out at -2.87 eV per atom. Its crystal system is cubic.

Unit cell a=6.0424 b=6.0424 c=6.0424 alpha=90.00 beta=90.00 gamma=90.00
Closest atoms and distances in Å follow each position.
Positions (direct):
Te  0.0000  0.0000  0.0000  6 Tl 3.02
Tl  0.0000  0.5000  0.0000  2 Te 3.02
Tl  0.0000  0.0000  0.5000  2 Te 3.02
Tl  0.5000  0.0000  0.0000  2 Te 3.02
V  0.5000  0.5000  0.5000  12 Tl 4.27

# 11
The following is a DFT calculation (GGA-PBE) of Ba2Sc2Bi2Se after structural relaxation.

Computed properties:
The value obtained for the uncorrected formation energy is -7.03 eV per formula unit. As for the volume: 237.4 Å³ per cell. The total energy comes out at -4.97 eV per atom. Its crystal system is tetragonal.

Unit cell a=5.1122 b=5.1122 c=9.7752 alpha=105.16 beta=105.16 gamma=90.00
Closest atoms and distances in Å follow each position.
Positions (direct):
Bi  0.6158  0.6158  0.2315  4 Sc 3.31
Bi  0.3842  0.3842  0.7685  4 Sc 3.31
Sc  0.5000  0.0000  0.0000  2 Se 2.56
Sc  0.0000  0.5000  0.0000  2 Se 2.56
Se  0.0000  0.0000  0.0000  4 Sc 2.56
Ba  0.8248  0.8248  0.6497  1 Se 3.18
Ba  0.1752  0.1752  0.3503  1 Se 3.18

# 12
The following is a DFT calculation (GGA-PBE) of BeIn after structural relaxation.

Computed properties:
As for the volume: 72.4 Å³ per cell. The total energy comes out at -2.90 eV per atom. Its crystal system is trigonal.

Unit cell a=6.1947 b=6.1947 c=6.1947 alpha=35.72 beta=35.72 gamma=35.72
Closest atoms and distances in Å follow each position.
Positions (direct):
In  0.0935  0.0935  0.0935  6 Be 2.72-2.74
In  0.9065  0.9065  0.9065  6 Be 2.72-2.74
Be  0.6661  0.6661  0.6661  3 Be 2.19
Be  0.3339  0.3339  0.3339  3 Be 2.19